No. 1
The following is a DFT calculation (GGA-PBE) of a relaxed HfGaCu2 crystal.

abc: 6.2224 6.2224 6.2224
angles: 90.00 90.00 90.00
Last column: nearest neighbours and their distance in Å.
Space group F-43m (No. 216)
Inequivalent atoms, fractional coordinates:
Hf  0.0000  0.0000  0.0000 x4  4 Ga 2.69, 4 Cu 2.69
Ga  0.2500  0.2500  0.7500 x4  4 Hf 2.69, 4 Cu 2.69
Cu  0.0000  0.0000  0.5000 x4  4 Cu 2.69, 4 Ga 2.69
Cu  0.2500  0.2500  0.2500 x4  4 Hf 2.69, 4 Cu 2.69

Results
Crystal system = cubic
Electronic total energy = -84.32 eV/cell

No. 2
The following is a DFT calculation (GGA-PBE) of a relaxed Hf5Ga3Cu crystal.

abc: 8.2261 8.2261 5.7096
angles: 90.00 90.00 120.00
Last column: nearest neighbours and their distance in Å.
Space group P6_3/mcm (No. 193)
Inequivalent atoms, fractional coordinates:
Hf  0.0000  0.2785  0.2500 x6  2 Cu 2.70, 5 Ga 2.78-2.97
Hf  0.3333  0.6667  0.0000 x4  2 Hf 2.85, 6 Ga 2.95
Ga  0.0000  0.3767  0.7500 x6  9 Hf 2.78-2.97
Cu  0.0000  0.0000  0.0000 x2  6 Hf 2.70, 2 Cu 2.85

Results
Crystal system = hexagonal
Electronic total energy = -131.90 eV/cell

No. 3
The following is a DFT calculation (GGA-PBE) of a relaxed Hf2Ga2Cu crystal.

abc: 4.1529 4.1529 11.8900
angles: 90.00 90.00 90.00
Last column: nearest neighbours and their distance in Å.
Space group I4/mmm (No. 139)
Inequivalent atoms, fractional coordinates:
Hf  0.0000  0.5000  0.2500 x4  4 Ga 2.76, 4 Hf 2.94
Ga  0.0000  0.0000  0.0965 x4  1 Ga 2.29
Cu  0.0000  0.0000  0.5000 x2  8 Ga 3.15

Results
Crystal system = tetragonal
Electronic total energy = -55.60 eV/cell

No. 4
The following is a DFT calculation (GGA-PBE) of a relaxed HfGaCuHg crystal.

abc: 6.5915 6.5915 6.5915
angles: 90.00 90.00 90.00
Last column: nearest neighbours and their distance in Å.
Space group F-43m (No. 216)
Inequivalent atoms, fractional coordinates:
Hf  0.0000  0.0000  0.0000 x4  4 Hg 2.85, 4 Ga 2.85
Ga  0.2500  0.2500  0.2500 x4  4 Hf 2.85, 4 Cu 2.85
Cu  0.0000  0.0000  0.5000 x4  4 Ga 2.85, 4 Hg 2.85
Hg  0.2500  0.2500  0.7500 x4  4 Cu 2.85, 4 Hf 2.85

Results
Crystal system = cubic
Distance to the lowest polymorph of the same formula = 0.000 eV/atom

No. 5
The following is a DFT calculation (GGA-PBE) of a relaxed HfGaCuHg crystal.

abc: 6.6070 6.6070 6.6070
angles: 90.00 90.00 90.00
Last column: nearest neighbours and their distance in Å.
Space group F-43m (No. 216)
Inequivalent atoms, fractional coordinates:
Hf  0.0000  0.0000  0.0000 x4  4 Cu 2.86, 4 Hg 2.86
Ga  0.0000  0.0000  0.5000 x4  4 Hg 2.86, 4 Cu 2.86
Cu  0.2500  0.2500  0.7500 x4  4 Hf 2.86, 4 Ga 2.86
Hg  0.2500  0.2500  0.2500 x4  4 Hf 2.86, 4 Ga 2.86

Results
Crystal system = cubic
Distance to the lowest polymorph of the same formula = 0.076 eV/atom

No. 6
The following is a DFT calculation (GGA-PBE) of a relaxed Hf2InGaCu2 crystal.

abc: 10.5229 4.2942 10.5296
angles: 90.00 109.50 90.00
Last column: nearest neighbours and their distance in Å.
Space group Pm (No. 6)
Inequivalent atoms, fractional coordinates:
Hf  0.0000  0.0000  0.0000 x1  4 Cu 2.61-2.76
Hf  0.1211  0.5000  0.3634 x1  4 Cu 2.56-2.61
Hf  0.2513  0.0000  0.7422 x1  4 Cu 2.63-2.67
Hf  0.3726  0.5000  0.1169 x1  4 Cu 2.60-2.63
Hf  0.4934  0.0000  0.4856 x1  4 Cu 2.64-2.68
Hf  0.6266  0.5000  0.8762 x1  4 Cu 2.59-2.72
Hf  0.7533  0.0000  0.2406 x1  4 Cu 2.55-2.70
Hf  0.8783  0.5000  0.6113 x1  4 Cu 2.60-2.69
In  0.1237  0.5000  0.8678 x1  4 Cu 2.64-2.68
In  0.3743  0.5000  0.6169 x1  4 Cu 2.63-2.68
In  0.6247  0.5000  0.3654 x1  4 Cu 2.65-2.67
In  0.7501  0.0000  0.7425 x1  4 Cu 2.63-2.68
Ga  0.0003  0.0000  0.4906 x1  4 Cu 2.56-2.62
Ga  0.2486  0.0000  0.2416 x1  4 Cu 2.59-2.62
Ga  0.4997  0.0000  0.9934 x1  4 Cu 2.56-2.63
Ga  0.8753  0.5000  0.1183 x1  4 Cu 2.58-2.61
Cu  0.0004  0.0000  0.7378 x1  1 Ga 2.60, 4 Hf 2.63-2.76, 3 In 2.64-2.65
Cu  0.1244  0.5000  0.1216 x1  4 Hf 2.56-2.63, 3 Ga 2.61, 1 In 2.67
Cu  0.2422  0.0000  0.4857 x1  2 Ga 2.56-2.59, 4 Hf 2.61-2.67, 2 In 2.68
Cu  0.3796  0.5000  0.8728 x1  4 Hf 2.59-2.66, 2 Ga 2.60, 2 In 2.68
Cu  0.4951  0.0000  0.2349 x1  2 Ga 2.56-2.62, 4 Hf 2.60-2.70, 2 In 2.67
Cu  0.6247  0.5000  0.6175 x1  4 In 2.63-2.65, 4 Hf 2.68-2.72
Cu  0.7508  0.0000  0.9977 x1  4 Hf 2.55-2.61, 3 Ga 2.61-2.63, 1 In 2.68
Cu  0.8784  0.5000  0.3643 x1  4 Hf 2.56-2.63, 3 Ga 2.58-2.62, 1 In 2.67

Results
Crystal system = monoclinic
Electronic total energy = -137.27 eV/cell

No. 7
The following is a DFT calculation (GGA-PBE) of a relaxed Hf2InGaCu2Pd2 crystal.

abc: 4.5235 4.5235 6.4501
angles: 90.00 90.00 90.00
Last column: nearest neighbours and their distance in Å.
Space group P-4m2 (No. 115)
Inequivalent atoms, fractional coordinates:
Hf  0.0000  0.0000  0.0000 x1  4 Pd 2.73, 4 Cu 2.74
Hf  0.5000  0.5000  0.5000 x1  4 Cu 2.82, 4 Pd 2.83
In  0.0000  0.0000  0.5000 x1  4 Cu 2.82, 4 Pd 2.83
Ga  0.5000  0.5000  0.0000 x1  4 Pd 2.73, 4 Cu 2.74
Cu  0.0000  0.5000  0.2385 x2  4 Hf 2.74-2.82, 2 Ga 2.74, 2 In 2.82
Pd  0.0000  0.5000  0.7631 x2  2 Ga 2.73, 4 Hf 2.73-2.83, 2 In 2.83

Results
Crystal system = tetragonal
Electronic total energy = -47.25 eV/cell

No. 8
The following is a DFT calculation (GGA-PBE) of a relaxed HfGaCuIr crystal.

abc: 6.3237 6.3237 6.3237
angles: 90.00 90.00 90.00
Last column: nearest neighbours and their distance in Å.
Space group F-43m (No. 216)
Inequivalent atoms, fractional coordinates:
Hf  0.0000  0.0000  0.0000 x4  4 Ir 2.74, 4 Ga 2.74
Ga  0.2500  0.2500  0.2500 x4  4 Hf 2.74, 4 Cu 2.74
Cu  0.0000  0.0000  0.5000 x4  4 Ga 2.74, 4 Ir 2.74
Ir  0.2500  0.2500  0.7500 x4  4 Cu 2.74, 4 Hf 2.74

Results
Crystal system = cubic
Distance to the lowest polymorph of the same formula = 0.200 eV/atom

No. 9
The following is a DFT calculation (GGA-PBE) of a relaxed HfGaCuIr crystal.

abc: 6.3064 6.3064 6.3064
angles: 90.00 90.00 90.00
Last column: nearest neighbours and their distance in Å.
Space group F-43m (No. 216)
Inequivalent atoms, fractional coordinates:
Hf  0.0000  0.0000  0.0000 x4  4 Ir 2.73, 4 Cu 2.73
Ga  0.0000  0.0000  0.5000 x4  4 Cu 2.73, 4 Ir 2.73
Cu  0.2500  0.2500  0.7500 x4  4 Hf 2.73, 4 Ga 2.73
Ir  0.2500  0.2500  0.2500 x4  4 Hf 2.73, 4 Ga 2.73

Results
Crystal system = cubic
Distance to the lowest polymorph of the same formula = 0.000 eV/atom

No. 10
The following is a DFT calculation (GGA-PBE) of a relaxed LiHf2Ga2CuIr2 crystal.

abc: 4.4457 4.4457 6.2789
angles: 90.00 90.00 90.00
Last column: nearest neighbours and their distance in Å.
Space group P-4m2 (No. 115)
Inequivalent atoms, fractional coordinates:
Li  0.0000  0.0000  0.0000 x1  4 Ga 2.70, 4 Hf 2.72
Hf  0.0000  0.5000  0.7508 x2  4 Ir 2.72, 2 Li 2.72, 2 Cu 2.72
Ga  0.0000  0.5000  0.2452 x2  4 Ir 2.70-2.74, 2 Li 2.70, 2 Cu 2.74
Cu  0.5000  0.5000  0.5000 x1  4 Hf 2.72, 4 Ga 2.74
Ir  0.0000  0.0000  0.5000 x1  4 Hf 2.72, 4 Ga 2.74
Ir  0.5000  0.5000  0.0000 x1  4 Ga 2.70, 4 Hf 2.72

Results
Crystal system = tetragonal
Electronic total energy = -54.08 eV/cell

No. 11
The following is a DFT calculation (GGA-PBE) of a relaxed LiHfGaCu crystal.

abc: 6.2388 6.2388 6.2388
angles: 90.00 90.00 90.00
Last column: nearest neighbours and their distance in Å.
Space group F-43m (No. 216)
Inequivalent atoms, fractional coordinates:
Li  0.0000  0.0000  0.0000 x4  4 Hf 2.70, 4 Cu 2.70
Hf  0.2500  0.2500  0.2500 x4  4 Li 2.70, 4 Ga 2.70
Ga  0.0000  0.0000  0.5000 x4  4 Hf 2.70, 4 Cu 2.70
Cu  0.2500  0.2500  0.7500 x4  4 Li 2.70, 4 Ga 2.70

Results
Crystal system = cubic
Distance to the lowest polymorph of the same formula = 0.114 eV/atom

No. 12
The following is a DFT calculation (GGA-PBE) of a relaxed LiHfGaCu crystal.

abc: 6.1761 6.1761 6.1761
angles: 90.00 90.00 90.00
Last column: nearest neighbours and their distance in Å.
Space group F-43m (No. 216)
Inequivalent atoms, fractional coordinates:
Li  0.0000  0.0000  0.0000 x4  4 Hf 2.67, 4 Ga 2.67
Hf  0.2500  0.2500  0.7500 x4  4 Li 2.67, 4 Cu 2.67
Ga  0.2500  0.2500  0.2500 x4  4 Li 2.67, 4 Cu 2.67
Cu  0.0000  0.0000  0.5000 x4  4 Ga 2.67, 4 Hf 2.67

Results
Crystal system = cubic
Distance to the lowest polymorph of the same formula = 0.000 eV/atom

No. 13
The following is a DFT calculation (GGA-PBE) of a relaxed Li2HfZrGa2Cu2 crystal.

abc: 4.3640 4.3640 6.1784
angles: 90.00 90.00 90.00
Last column: nearest neighbours and their distance in Å.
Space group P-4m2 (No. 115)
Inequivalent atoms, fractional coordinates:
Li  0.0000  0.5000  0.2497 x2  2 Hf 2.67, 4 Ga 2.67, 2 Zr 2.67
Hf  0.0000  0.0000  0.0000 x1  4 Cu 2.65, 4 Li 2.67
Zr  0.5000  0.5000  0.5000 x1  4 Li 2.67, 4 Cu 2.70
Ga  0.0000  0.0000  0.5000 x1  4 Li 2.67, 4 Cu 2.70
Ga  0.5000  0.5000  0.0000 x1  4 Cu 2.65, 4 Li 2.67
Cu  0.0000  0.5000  0.7561 x2  2 Hf 2.65, 4 Ga 2.65-2.70, 2 Zr 2.70

Results
Crystal system = tetragonal
Electronic total energy = -37.51 eV/cell

Magnetic moment values, unit μB per formula unit, following the record order: 0.00; 0.01; 0.00; 0.00; 0.00; 0.00; 0.00; 0.00; 0.00; 0.03; 0.00; 0.00; 0.01.